(1)
Below is crystalline KMgP2 at its relaxed geometry, with properties calculated at the PBE level.

Computed properties:
Formation energy (eV/atom): -0.334

The structure in CIF format:
```
data_KMgP2
_cell_length_a 3.6912
_cell_length_b 3.5628
_cell_length_c 7.6419
_cell_angle_alpha 62.35
_cell_angle_beta 90.00
_cell_angle_gamma 90.00
_space_group_name_H-M_alt 'P 1'
_space_group_IT_number 1
_space_group_name_Hall 'P 1'
loop_
_atom_site_label
_atom_site_fract_x
_atom_site_fract_y
_atom_site_fract_z
_atom_site_occupancy
K1 0.5000 0.2500 0.2500 1
Mg1 0.5000 0.7500 0.7500 1
P1 0.0000 0.0893 0.9117 1
P2 0.0000 0.4107 0.5883 1
```

(2)
Below is crystalline MnZnP at its relaxed geometry, with properties calculated at the PBE level.

Computed properties:
Formation energy (eV/atom): -0.155

The structure in CIF format:
```
data_MnZnP
_cell_length_a 4.8155
_cell_length_b 4.8155
_cell_length_c 4.8155
_cell_angle_alpha 144.51
_cell_angle_beta 144.51
_cell_angle_gamma 51.07
_space_group_name_H-M_alt 'P 1'
_space_group_IT_number 1
_space_group_name_Hall 'P 1'
loop_
_atom_site_label
_atom_site_fract_x
_atom_site_fract_y
_atom_site_fract_z
_atom_site_occupancy
Mn1 0.9721 0.9721 0.0000 1
Zn1 0.6659 0.6659 0.0000 1
P1 0.3620 0.3620 0.0000 1
```

(3)
Below is crystalline CaAl7 at its relaxed geometry, with properties calculated at the PBE level.

Computed properties:
Formation energy (eV/atom): -0.027

The structure in CIF format:
```
data_CaAl7
_cell_length_a 5.9267
_cell_length_b 5.9267
_cell_length_c 5.9267
_cell_angle_alpha 60.00
_cell_angle_beta 60.00
_cell_angle_gamma 60.00
_space_group_name_H-M_alt 'P 1'
_space_group_IT_number 1
_space_group_name_Hall 'P 1'
loop_
_atom_site_label
_atom_site_fract_x
_atom_site_fract_y
_atom_site_fract_z
_atom_site_occupancy
Ca1 0.0000 0.0000 0.0000 1
Al1 0.5000 0.5000 0.0000 1
Al2 0.5000 0.0000 0.5000 1
Al3 0.5000 0.0000 0.0000 1
Al4 0.0000 0.0000 0.5000 1
Al5 0.0000 0.5000 0.0000 1
Al6 0.0000 0.5000 0.5000 1
Al7 0.5000 0.5000 0.5000 1
```

(4)
Below is crystalline Tb2PmPuO8 at its relaxed geometry, with properties calculated at the PBE level.

Computed properties:
Formation energy without anion corrections (eV per atom): -3.054

The structure in CIF format:
```
data_Tb2PmPuO8
_cell_length_a 5.1367
_cell_length_b 5.1404
_cell_length_c 7.0825
_cell_angle_alpha 90.00
_cell_angle_beta 90.00
_cell_angle_gamma 90.40
_space_group_name_H-M_alt 'P 1'
_space_group_IT_number 1
_space_group_name_Hall 'P 1'
loop_
_atom_site_label
_atom_site_fract_x
_atom_site_fract_y
_atom_site_fract_z
_atom_site_occupancy
Tb1 0.4999 0.4999 0.7422 1
Tb2 0.5001 0.5001 0.2578 1
Pm1 0.0000 0.0000 0.5000 1
Pu1 0.0000 0.0000 0.0000 1
O1 0.1842 0.8146 0.2163 1
O2 0.7230 0.7245 0.9999 1
O3 0.8157 0.1852 0.2163 1
O4 0.8158 0.1854 0.7837 1
O5 0.2770 0.2755 0.0001 1
O6 0.1843 0.8148 0.7837 1
O7 0.6860 0.6870 0.5000 1
O8 0.3140 0.3130 0.5000 1
```

(5)
Below is crystalline YSnSe2N at its relaxed geometry, with properties calculated at the PBE level.

Computed properties:
Formation energy without anion corrections (eV per atom): -0.102
Offset from the most stable computed form (meV per atom): 4

The structure in CIF format:
```
data_YSnSe2N
_cell_length_a 5.3337
_cell_length_b 5.3337
_cell_length_c 3.9820
_cell_angle_alpha 90.00
_cell_angle_beta 90.00
_cell_angle_gamma 90.00
_space_group_name_H-M_alt 'P 1'
_space_group_IT_number 1
_space_group_name_Hall 'P 1'
loop_
_atom_site_label
_atom_site_fract_x
_atom_site_fract_y
_atom_site_fract_z
_atom_site_occupancy
Y1 0.5000 0.5000 0.5000 1
Sn1 0.0000 0.0000 0.0000 1
Se1 0.0000 0.5000 0.0000 1
Se2 0.5000 0.0000 0.0000 1
N1 0.0000 0.0000 0.5000 1
```

(6)
Below is crystalline InCo2Te2 at its relaxed geometry, with properties calculated at the PBE level.

Computed properties:
Formation energy without anion corrections (eV per atom): -0.017

The structure in CIF format:
```
data_InCo2Te2
_cell_length_a 3.7699
_cell_length_b 3.7699
_cell_length_c 8.3770
_cell_angle_alpha 77.00
_cell_angle_beta 77.00
_cell_angle_gamma 90.00
_space_group_name_H-M_alt 'P 1'
_space_group_IT_number 1
_space_group_name_Hall 'P 1'
loop_
_atom_site_label
_atom_site_fract_x
_atom_site_fract_y
_atom_site_fract_z
_atom_site_occupancy
Te1 0.3526 0.3526 0.2948 1
Te2 0.6474 0.6474 0.7052 1
Co1 0.7500 0.2500 0.5000 1
Co2 0.2500 0.7500 0.5000 1
In1 0.0000 0.0000 0.0000 1
```

(7)
Below is crystalline SrMgSnPb at its relaxed geometry, with properties calculated at the PBE level.

Computed properties:
Formation energy (eV/atom): -0.294

The structure in CIF format:
```
data_SrMgSnPb
_cell_length_a 5.5106
_cell_length_b 5.5106
_cell_length_c 5.5106
_cell_angle_alpha 60.00
_cell_angle_beta 60.00
_cell_angle_gamma 60.00
_space_group_name_H-M_alt 'P 1'
_space_group_IT_number 1
_space_group_name_Hall 'P 1'
loop_
_atom_site_label
_atom_site_fract_x
_atom_site_fract_y
_atom_site_fract_z
_atom_site_occupancy
Pb1 0.7500 0.7500 0.7500 1
Sr1 0.0000 0.0000 0.0000 1
Mg1 0.5000 0.5000 0.5000 1
Sn1 0.2500 0.2500 0.2500 1
```

(8)
Below is crystalline NbSiNi at its relaxed geometry, with properties calculated at the PBE level.

Computed properties:
Formation energy without anion corrections (eV per atom): -0.434

The structure in CIF format:
```
data_NbSiNi
_cell_length_a 3.9824
_cell_length_b 6.9566
_cell_length_c 6.0120
_cell_angle_alpha 90.00
_cell_angle_beta 90.00
_cell_angle_gamma 90.00
_space_group_name_H-M_alt 'P 1'
_space_group_IT_number 1
_space_group_name_Hall 'P 1'
loop_
_atom_site_label
_atom_site_fract_x
_atom_site_fract_y
_atom_site_fract_z
_atom_site_occupancy
Ni1 0.2500 0.5911 0.1068 1
Ni2 0.7500 0.4089 0.1068 1
Ni3 0.7500 0.0911 0.6068 1
Ni4 0.2500 0.9089 0.6068 1
Nb1 0.2500 0.1857 0.9260 1
Nb2 0.7500 0.8143 0.9260 1
Nb3 0.7500 0.6857 0.4260 1
Nb4 0.2500 0.3143 0.4260 1
Si1 0.2500 0.6036 0.7250 1
Si2 0.7500 0.3964 0.7250 1
Si3 0.7500 0.1036 0.2250 1
Si4 0.2500 0.8964 0.2250 1
```

Results for volume: 22.26, 12.48, 18.40, 15.58, 22.66, 22.57, 29.58, 13.88 (in A^3/atom, following the order of the records).